# NaMgO2F (GGA-PBE, relaxed)
# - Total moment: 2.00 Bohr magnetons per cell
# - E_form (uncorrected): -766 meV/atom
# - Raw total energy: -3.71 eV/atom
data_NaMgO2F
_symmetry_space_group_name_H-M 'P 4/m m m'
_symmetry_Int_Tables_number 123
_symmetry_space_group_name_Hall '-P 4 2'
_cell_length_a 4.065
_cell_length_b 4.065
_cell_length_c 4.018
_cell_angle_alpha 90.00
_cell_angle_beta 90.00
_cell_angle_gamma 90.00
loop_
_atom_site_label
_atom_site_type_symbol
_atom_site_fract_x
_atom_site_fract_y
_atom_site_fract_z
Na1 Na 0.000 0.000 0.000
Mg1 Mg 0.500 0.500 0.500
O1 O 0.000 0.500 0.000
F1 F 0.000 0.000 0.500

# Li3PdAu4 (GGA-PBE, relaxed)
# - Total moment: 0.00 Bohr magnetons per cell
# - Energy of formation from the pure elements: -0.36 eV per atom
# - Raw total energy: -3.37 eV/atom
data_Li3PdAu4
_symmetry_space_group_name_H-M 'C 1 2/m 1'
_symmetry_Int_Tables_number 12
_symmetry_space_group_name_Hall '-C 2y'
_cell_length_a 22.851
_cell_length_b 2.849
_cell_length_c 4.292
_cell_angle_alpha 90.00
_cell_angle_beta 97.44
_cell_angle_gamma 90.00
loop_
_atom_site_label
_atom_site_type_symbol
_atom_site_fract_x
_atom_site_fract_y
_atom_site_fract_z
Li1 Li 0.000 0.000 0.000
Li2 Li 0.167 0.000 0.189
Pd1 Pd 0.000 0.500 0.500
Au1 Au 0.102 0.000 0.643
Au2 Au 0.214 0.500 0.723

| no. | calculated volume (Å³ per cell) | DOS(E_F) (states/eV/f.u.) |
| --- | --- | --- |
| 1 | 66.4 | 3.95 |
| 2 | 277.1 | 2.07 |